Entry 1:
Below is a geometry-optimized Sm2BeNiPt6 structure, with properties calculated at the GGA-PBE level.

## Properties
E_tot: -6.231 eV/atom
Total moment: 0.004 μB per formula unit
DFT formation energy: -0.71 eV per atom
D(E_F): 0.65 states/eV/atom

a = 9.7456 Å, b = 5.6368 Å, c = 7.4526 Å
α = 90.00°, β = 115.62°, γ = 90.00°
Closest atoms and distances in Å follow each position.
Space group C2/m (No. 12)
Unique sites:
Sm1 0.2070 0.0000 0.1215 (multiplicity 4)  9 Pt 3.03-3.24, 3 Ni 3.35
Be1 0.0000 0.0000 0.5000 (multiplicity 2)  6 Pt 2.18-2.19
Ni1 0.0000 0.5000 0.0000 (multiplicity 2)  6 Pt 2.51
Pt1 0.0154 0.2573 0.2905 (multiplicity 8)  1 Be 2.18
Pt2 0.2412 0.0000 0.7100 (multiplicity 4)  1 Be 2.19

---

Entry 2:
Below is a geometry-optimized Tb2Be4NiPt3 structure, with properties calculated at the GGA-PBE level.

## Properties
E_tot: -5.597 eV/atom
Total moment: 0.000 μB per formula unit
DFT formation energy: -0.79 eV per atom
D(E_F): 0.53 states/eV/atom

a = 3.9451 Å, b = 3.9451 Å, c = 9.6034 Å
α = 90.00°, β = 90.00°, γ = 90.00°
Closest atoms and distances in Å follow each position.
Space group P-4m2 (No. 115)
Unique sites:
Tb1 0.0000 0.5000 0.2458 (multiplicity 2)  6 Pt 3.03-3.08, 8 Be 3.04-3.14, 2 Ni 3.08
Be1 0.0000 0.0000 0.5000 (multiplicity 1)  4 Pt 2.34
Be2 0.0000 0.5000 0.8792 (multiplicity 2)  2 Ni 2.29, 3 Pt 2.29-2.38
Be3 0.5000 0.5000 0.5000 (multiplicity 1)  4 Pt 2.34
Ni1 0.5000 0.5000 0.0000 (multiplicity 1)  4 Be 2.29
Pt1 0.0000 0.0000 0.0000 (multiplicity 1)  4 Be 2.29
Pt2 0.0000 0.5000 0.6312 (multiplicity 2)  5 Be 2.34-2.38

---

Entry 3:
Below is a geometry-optimized Tb2Be3NiPt4 structure, with properties calculated at the GGA-PBE level.

## Properties
E_tot: -5.893 eV/atom
Total moment: 0.000 μB per formula unit
DFT formation energy: -0.86 eV per atom
D(E_F): 0.56 states/eV/atom

a = 3.9971 Å, b = 3.9971 Å, c = 9.8844 Å
α = 90.00°, β = 90.00°, γ = 90.00°
Closest atoms and distances in Å follow each position.
Space group P-4m2 (No. 115)
Unique sites:
Tb1 0.0000 0.5000 0.2483 (multiplicity 2)  8 Pt 3.00-3.19, 6 Be 3.11-3.16, 2 Ni 3.16
Be1 0.0000 0.0000 0.0000 (multiplicity 1)  4 Pt 2.47
Be2 0.0000 0.5000 0.6214 (multiplicity 2)  5 Pt 2.28-2.33
Ni1 0.5000 0.5000 0.0000 (multiplicity 1)  4 Pt 2.47
Pt1 0.0000 0.0000 0.5000 (multiplicity 1)  4 Be 2.33
Pt2 0.0000 0.5000 0.8526 (multiplicity 2)  3 Be 2.28-2.47, 2 Ni 2.47
Pt3 0.5000 0.5000 0.5000 (multiplicity 1)  4 Be 2.33